A:
A relaxed structure of Ce4Bi2C. Source: the Alexandria database, functional PBE.

Geometry as extended XYZ:
```
7
Lattice="4.9132 0.0000 0.0000 0.0000 4.9132 0.0000 -2.4566 -2.4566 8.3092" Properties=species:S:1:pos:R:3 pbc="T T T"
C 0.0000 0.0000 0.0000
Bi 2.4566 2.4566 2.3882
Bi 0.0000 0.0000 5.9210
Ce 2.4566 2.4566 5.7422
Ce 0.0000 0.0000 2.5669
Ce 0.0000 2.4566 0.0000
Ce 2.4566 0.0000 0.0000
```

## Properties
SG: I4/mmm



B:
A relaxed structure of Ce4Bi2C. Source: the Alexandria database, functional PBE.

Geometry as extended XYZ:
```
14
Lattice="-0.5995 3.5760 5.4767 0.7328 -5.5110 3.6787 9.3728 -0.6174 -2.7922" Properties=species:S:1:pos:R:3 pbc="T T T"
Ce 2.7544 -0.8490 3.9674
Ce 9.4798 -4.1522 0.9516
Ce 0.0263 1.5998 5.4115
Ce 2.4186 1.6762 2.2817
Ce 5.7666 1.4867 4.0986
Ce 7.0875 -4.2287 4.0814
Ce 6.7517 -1.7034 2.3958
Ce 3.7395 -4.0391 2.2646
Bi 0.4273 -1.6278 6.5368
Bi 9.0788 -0.9246 -0.1736
Bi 3.8255 -1.0688 0.6570
Bi 5.6805 -1.4837 5.7062
C 2.4044 -3.1182 3.9102
C 7.1017 0.5657 2.4530
```

## Properties
SG: P2_1/m



Short version: A, B, most stable first.